The following is a PBE-GGA calculation of a geometry-optimized SrAlSe2 structure, from Alexandria via LeMat-Bulk.

Results
- formation energy from raw total energies (eV per atom) = -0.861
- crystal system = tetragonal
- calculated volume (Å³/f.u.) = 95.0

Cell: 5.0763 5.0763 3.6883 Å, 90.00 90.00 90.00°
With the nearest neighbours (Å) after each atom.
Space group P4/mmm (No. 123)
Asymmetric unit:
1 Sr 0.0000 0.0000 0.0000 [1 per cell]  8 Se 3.14
2 Al 0.5000 0.5000 0.0000 [1 per cell]  8 Se 3.14
3 Se 0.0000 0.5000 0.5000 [2 per cell]  4 Al 3.14, 4 Sr 3.14